(1)
Below is ThCo2Ge2 after structural relaxation, with properties calculated at the PBE-GGA level.

Properties
formation energy: -0.616 eV per atom
electronic total energy: -33.9 eV per formula unit

a = 4.147 Å, b = 4.147 Å, c = 9.794 Å
α = 90.00°, β = 90.00°, γ = 90.00°
Space group I4/mmm (No. 139)
Symmetry-distinct sites (fractional):
Th 0.000 0.000 0.000 (multiplicity 2)
Co 0.000 0.500 0.250 (multiplicity 4)
Ge 0.000 0.000 0.366 (multiplicity 4)

=====

(2)
Below is BaCa2Th after structural relaxation, with properties calculated at the PBE-GGA level.

Properties
relative energy among the computed polymorphs: 167 meV per atom
formation energy: 0.367 eV per atom
electronic total energy: -11.9 eV per formula unit

a = 3.6668 Å, b = 3.6668 Å, c = 42.2179 Å
α = 90.00°, β = 90.00°, γ = 120.00°
Space group R-3m (No. 166, hexagonal axes)
Symmetry-distinct sites (fractional):
Ba 0.0000 0.0000 0.0000 (multiplicity 3)
Ca 0.0000 0.0000 0.4163 (multiplicity 6)
Th 0.0000 0.0000 0.5000 (multiplicity 3)

=====

(3)
Below is NaMgS2Cl after structural relaxation, with properties calculated at the PBE-GGA level.

Properties
relative energy among the computed polymorphs: 733 meV per atom
electronic total energy: -12.7 eV per formula unit

a = 4.877 Å, b = 4.877 Å, c = 5.040 Å
α = 90.00°, β = 90.00°, γ = 90.00°
Space group P4/mmm (No. 123)
Symmetry-distinct sites (fractional):
Na 0.000 0.000 0.000 (multiplicity 1)
Mg 0.500 0.500 0.500 (multiplicity 1)
S 0.000 0.500 0.000 (multiplicity 2)
Cl 0.000 0.000 0.500 (multiplicity 1)

=====

(4)
Below is Li2ReW after structural relaxation, with properties calculated at the PBE-GGA level.

Properties
relative energy among the computed polymorphs: 150 meV per atom
formation energy: 0.382 eV per atom
electronic total energy: -27.7 eV per formula unit

a = 2.888 Å, b = 4.339 Å, c = 4.841 Å
α = 90.00°, β = 90.00°, γ = 90.00°
Space group Pmmm (No. 47)
Symmetry-distinct sites (fractional):
Li 0.000 0.000 0.000 (multiplicity 1)
Li 0.500 0.500 0.000 (multiplicity 1)
Re 0.000 0.500 0.500 (multiplicity 1)
W 0.500 0.000 0.500 (multiplicity 1)

=====

(5)
Below is Sr2CaCu after structural relaxation, with properties calculated at the PBE-GGA level.

Properties
relative energy among the computed polymorphs: 43 meV per atom
formation energy: 0.018 eV per atom
electronic total energy: -9.4 eV per formula unit

a = 3.890 Å, b = 3.890 Å, c = 9.731 Å
α = 90.00°, β = 90.00°, γ = 90.00°
Space group P4/mmm (No. 123)
Symmetry-distinct sites (fractional):
Sr 0.000 0.000 0.187 (multiplicity 2)
Ca 0.500 0.500 0.500 (multiplicity 1)
Cu 0.500 0.500 0.000 (multiplicity 1)

=====

(6)
Below is PmNi3H3 after structural relaxation, with properties calculated at the PBE-GGA level.

Properties
electronic total energy: -31.0 eV per formula unit

a = 8.708 Å, b = 8.708 Å, c = 8.708 Å
α = 90.00°, β = 90.00°, γ = 90.00°
Space group Fm-3m (No. 225)
Symmetry-distinct sites (fractional):
Pm 0.250 0.250 0.250 (multiplicity 8)
Ni 0.000 0.000 0.192 (multiplicity 24)
H 0.000 0.000 0.361 (multiplicity 24)